(1)
# SrPtBr PBE relaxed
data_SrPtBr
_chemical_formula_sum 'Sr1 Pt1 Br1'
_symmetry_space_group_name_H-M 'P 1'
_symmetry_Int_Tables_number 1
_cell_length_a 3.8908
_cell_length_b 3.8908
_cell_length_c 6.7057
_cell_angle_alpha 90.00
_cell_angle_beta 90.00
_cell_angle_gamma 120.00
loop_
_symmetry_equiv_pos_as_xyz
'x,y,z'
loop_
_atom_site_label
_atom_site_type_symbol
_atom_site_fract_x
_atom_site_fract_y
_atom_site_fract_z
Sr1 Sr 0.3333 0.6667 0.6683
Pt1 Pt 0.6667 0.3333 0.3590
Br1 Br 0.0000 0.0000 0.9727
# polymorph energy (0 for the lowest one): 199 meV/atom
# VASP energy: -3.614 eV per atom
# formation energy (no corrections): -139.5 kJ/mol of formula units

***

(2)
# Sm2DyRh PBE relaxed
data_Sm2DyRh
_chemical_formula_sum 'Sm2 Dy1 Rh1'
_symmetry_space_group_name_H-M 'P 1'
_symmetry_Int_Tables_number 1
_cell_length_a 3.5717
_cell_length_b 3.5717
_cell_length_c 8.6681
_cell_angle_alpha 90.00
_cell_angle_beta 90.00
_cell_angle_gamma 90.00
loop_
_symmetry_equiv_pos_as_xyz
'x,y,z'
loop_
_atom_site_label
_atom_site_type_symbol
_atom_site_fract_x
_atom_site_fract_y
_atom_site_fract_z
Sm1 Sm 0.0000 0.0000 0.8086
Dy1 Dy 0.5000 0.5000 0.5000
Rh1 Rh 0.5000 0.5000 0.0000
Sm2 Sm 0.0000 0.0000 0.1914
# polymorph energy (0 for the lowest one): 169 meV/atom
# VASP energy: -5.657 eV per atom
# energy of formation: -1.23 eV per formula unit